! CaP GGA-PBE relaxed; values from VASP
&SYSTEM
  ibrav = 0, nat = 4, ntyp = 2
/
ATOMIC_SPECIES
Ca 40.08 Ca.upf
P 30.97 P.upf
CELL_PARAMETERS angstrom
-0.984 1.368 -2.876
1.180 -4.044 -2.327
-5.433 -2.084 0.867
ATOMIC_POSITIONS angstrom
Ca -0.679 -0.261 0.108
Ca -3.297 -2.641 -2.060
P -3.396 -1.303 0.542
P -0.581 -1.599 -2.493
! Space-group type ... Immm (71)
! Formation energy ... -0.7507 eV/atom

---

! Ba2SnPtPb6 GGA-PBE relaxed; values from VASP
&SYSTEM
  ibrav = 0, nat = 20, ntyp = 4
/
ATOMIC_SPECIES
Ba 137.33 Ba.upf
Sn 118.71 Sn.upf
Pt 195.08 Pt.upf
Pb 207.20 Pb.upf
CELL_PARAMETERS angstrom
-3.903 5.874 2.742
-3.413 -0.537 6.732
9.350 6.640 9.523
ATOMIC_POSITIONS angstrom
Ba -3.332 6.980 11.625
Ba 5.367 4.998 7.372
Ba 2.696 9.466 14.880
Ba -0.662 2.512 4.117
Sn -1.556 4.928 8.109
Sn 3.591 7.050 10.888
Pt 0.000 0.000 0.000
Pt 1.017 5.989 9.498
Pb -0.930 7.889 8.663
Pb -0.648 4.201 10.958
Pb 1.316 4.510 7.085
Pb 2.964 4.088 10.334
Pb 2.682 7.777 8.039
Pb 0.719 7.468 11.912
Pb 5.080 9.753 11.858
Pb 5.297 6.903 13.632
Pb 6.815 7.141 10.639
Pb -3.045 2.224 7.139
Pb -3.263 5.075 5.365
Pb -4.781 4.836 8.358
! Space-group type ... R-3m (166)
! Formation energy ... -0.2238 eV/atom

---

! Sm4BiP3Rh12 GGA-PBE relaxed; values from VASP
&SYSTEM
  ibrav = 0, nat = 20, ntyp = 4
/
ATOMIC_SPECIES
Sm 150.36 Sm.upf
Bi 208.98 Bi.upf
P 30.97 P.upf
Rh 102.91 Rh.upf
CELL_PARAMETERS angstrom
7.960 0.000 0.000
-2.653 7.505 0.000
-2.653 -3.753 6.500
ATOMIC_POSITIONS angstrom
Sm 1.327 1.876 3.250
Sm -1.327 -1.876 3.250
Sm 3.980 0.000 0.000
Sm -1.327 3.753 0.000
Bi 0.000 0.000 0.000
P 2.653 -1.876 3.250
P 2.653 3.753 0.000
P -2.653 1.876 3.250
Rh -1.327 0.938 4.875
Rh 3.864 -2.732 4.732
Rh 1.443 -1.020 1.767
Rh 3.980 2.814 1.625
Rh 3.864 5.464 0.000
Rh 1.443 2.041 0.000
Rh 3.980 0.000 3.250
Rh -1.327 3.753 3.250
Rh 1.327 -0.938 4.875
Rh -3.864 2.732 4.732
Rh 1.327 4.691 1.625
Rh -1.443 1.020 1.767
! Space-group type ... Im-3m (229)
! Formation energy ... -0.4352 eV/atom

---

! Li2Ce3Ag9 GGA-PBE relaxed; values from VASP
&SYSTEM
  ibrav = 0, nat = 14, ntyp = 3
/
ATOMIC_SPECIES
Li 6.94 Li.upf
Ce 140.12 Ce.upf
Ag 107.87 Ag.upf
CELL_PARAMETERS angstrom
-3.845 -0.240 2.631
-4.412 -6.744 -2.928
1.172 -6.687 5.238
ATOMIC_POSITIONS angstrom
Li -2.528 -6.825 3.955
Li -4.558 -6.846 0.987
Ce 0.000 0.000 0.000
Ce -3.673 -4.008 2.540
Ce -3.413 -9.663 2.402
Ag -1.620 -6.715 1.155
Ag -6.040 -11.519 2.530
Ag -1.046 -2.152 2.412
Ag -4.474 -11.503 4.822
Ag -2.613 -2.168 0.121
Ag -6.579 -8.697 2.001
Ag -0.507 -4.974 2.941
Ag -4.194 -8.673 5.489
Ag -2.892 -4.998 -0.547
! Space-group type ... Immm (71)
! Formation energy ... -0.1052 eV/atom

---

! Dy3Bi2Rh GGA-PBE relaxed; values from VASP
&SYSTEM
  ibrav = 0, nat = 6, ntyp = 3
/
ATOMIC_SPECIES
Dy 162.50 Dy.upf
Bi 208.98 Bi.upf
Rh 102.91 Rh.upf
CELL_PARAMETERS angstrom
4.186 0.000 0.000
0.000 6.186 0.000
-2.093 -3.093 6.670
ATOMIC_POSITIONS angstrom
Dy 0.000 0.000 4.798
Dy 0.000 0.000 0.000
Dy 2.093 3.093 1.872
Bi 2.093 0.000 2.357
Bi 0.000 3.093 4.313
Rh 0.000 3.093 0.000
! Space-group type ... Immm (71)
! Formation energy ... -0.6484 eV/atom

---

! Bi2PBr GGA-PBE relaxed; values from VASP
&SYSTEM
  ibrav = 0, nat = 4, ntyp = 3
/
ATOMIC_SPECIES
P 30.97 P.upf
Bi 208.98 Bi.upf
Br 79.90 Br.upf
CELL_PARAMETERS angstrom
0.000 3.699 3.699
3.699 0.000 3.699
3.699 3.699 0.000
ATOMIC_POSITIONS angstrom
P 0.000 0.000 0.000
Bi 1.849 1.849 1.849
Bi 5.548 5.548 5.548
Br 3.699 3.699 3.699
! Space-group type ... Fm-3m (225)
! Formation energy from raw total energies ... 228 meV per atom
! Energy relative to the lowest polymorph listed for this composition ... 198 meV/atom

---

! ScAg2Cl GGA-PBE relaxed; values from VASP
&SYSTEM
  ibrav = 0, nat = 4, ntyp = 3
/
ATOMIC_SPECIES
Ag 107.87 Ag.upf
Cl 35.45 Cl.upf
Sc 44.96 Sc.upf
CELL_PARAMETERS angstrom
6.174 -0.006 0.000
3.820 4.850 0.000
-4.997 -2.422 2.698
ATOMIC_POSITIONS angstrom
Ag 0.000 0.000 0.000
Ag 4.997 2.422 0.000
Cl 1.910 2.425 1.349
Sc 3.087 -0.003 1.349
! Space-group type ... I4/mmm (139)
! Formation energy from raw total energies ... -335 meV per atom
! Energy relative to the lowest polymorph listed for this composition ... 225 meV/atom

---

! ZnC5 GGA-PBE relaxed; values from VASP
&SYSTEM
  ibrav = 0, nat = 6, ntyp = 2
/
ATOMIC_SPECIES
Zn 65.41 Zn.upf
C 12.01 C.upf
CELL_PARAMETERS angstrom
3.362 0.000 0.000
0.000 3.362 0.000
0.000 0.000 5.384
ATOMIC_POSITIONS angstrom
Zn 1.681 1.681 0.000
C 0.000 0.000 4.021
C 0.000 0.000 1.363
C 1.681 1.681 3.376
C 1.681 1.681 2.008
C 0.000 0.000 2.692
! Space-group type ... P4/mmm (123)
! Formation energy ... 2.3297 eV/atom
! Energy relative to the lowest polymorph listed for this composition ... 1548 meV/atom